The following is a DFT calculation (GGA-PBE) of a relaxed TlCo2Au crystal.

Unit cell a=7.4515 b=7.4515 c=7.4515 alpha=26.29 beta=26.29 gamma=26.29
Closest atoms and distances in Å follow each position.
Atoms (fractional coordinates):
Tl (0.0000, 0.0000, 0.0000)  3 Co 2.84, 3 Au 3.01
Co (0.4799, 0.4799, 0.4799)  3 Co 2.25
Co (0.7618, 0.7618, 0.7618)  3 Co 2.25
Au (0.2276, 0.2276, 0.2276)  3 Co 2.62

Computed properties:
DFT total energy: -17.92 eV per cell



The following is a DFT calculation (GGA-PBE) of a relaxed ErSbH crystal.

Unit cell a=6.0392 b=6.1787 c=6.7477 alpha=90.00 beta=90.00 gamma=90.00
Closest atoms and distances in Å follow each position.
Atoms (fractional coordinates):
Er (0.2477, 0.2500, 0.0478)  2 H 2.03-2.04
Er (0.2523, 0.7500, 0.5478)  2 H 2.03-2.04
Er (0.7477, 0.2500, 0.4522)  2 H 2.03-2.04
Er (0.7523, 0.7500, 0.9522)  2 H 2.03-2.04
Sb (0.2483, 0.2500, 0.5663)  2 H 2.57-2.66
Sb (0.2517, 0.7500, 0.0663)  2 H 2.57-2.66
Sb (0.7483, 0.2500, 0.9337)  2 H 2.57-2.66
Sb (0.7517, 0.7500, 0.4337)  2 H 2.57-2.66
H (0.0033, 0.2500, 0.2552)  2 Er 2.03-2.04
H (0.4967, 0.7500, 0.7552)  2 Er 2.03-2.04
H (0.5033, 0.2500, 0.2448)  2 Er 2.03-2.04
H (0.9967, 0.7500, 0.7448)  2 Er 2.03-2.04

Computed properties:
ΔE to the lowest computed polymorph: 269.8 meV per atom



The following is a DFT calculation (GGA-PBE) of a relaxed PmHo2Ir crystal.

Unit cell a=10.7309 b=10.7309 c=10.7309 alpha=20.28 beta=20.28 gamma=20.28
Closest atoms and distances in Å follow each position.
Atoms (fractional coordinates):
Pm (0.0000, 0.0000, 0.0000)  2 Ho 3.63, 6 Pm 3.78
Ho (0.1151, 0.1151, 0.1151)  3 Ir 2.72
Ho (0.8849, 0.8849, 0.8849)  3 Ir 2.72
Ir (0.5000, 0.5000, 0.5000)  6 Ho 2.72

Computed properties:
ΔE to the lowest computed polymorph: 380.6 meV per atom



The following is a DFT calculation (GGA-PBE) of a relaxed Ca3NiCl crystal.

Unit cell a=5.4402 b=5.4402 c=5.4402 alpha=90.00 beta=90.00 gamma=90.00
Closest atoms and distances in Å follow each position.
Atoms (fractional coordinates):
Ca (0.0000, 0.0000, 0.5000)  2 Ni 2.72
Ca (0.0000, 0.5000, 0.0000)  2 Ni 2.72
Ca (0.5000, 0.0000, 0.0000)  2 Ni 2.72
Ni (0.0000, 0.0000, 0.0000)  6 Ca 2.72
Cl (0.5000, 0.5000, 0.5000)  12 Ca 3.85

Computed properties:
ΔE to the lowest computed polymorph: 0.0 meV per atom
E_form (uncorrected): -395 meV per atom



Number 1 is which compound? TlCo2Au